[1]
A plane-wave DFT calculation with GGA-PBE was carried out for GaSb after structural relaxation.

Cell: 5.8003 5.8003 5.8003 Å, 90.00 90.00 90.00°
Closest atoms and distances in Å follow each position.
Space group Fm-3m (No. 225)
Asymmetric unit:
Ga (0.0000, 0.0000, 0.0000) (multiplicity 4)  6 Sb 2.90
Sb (0.0000, 0.0000, 0.5000) (multiplicity 4)  6 Ga 2.90

Calculated values
theoretical density: 6.5 g/cm³
DFT total energy: -3.547 eV per atom
Fermi-level density of states: 2.87 states/eV per cell
relative energy among the computed polymorphs: 0.191 eV/atom



[2]
A plane-wave DFT calculation with GGA-PBE was carried out for GaSb after structural relaxation.

Cell: 4.4061 13.4180 6.7259 Å, 90.00 90.00 90.00°
Closest atoms and distances in Å follow each position.
Space group Pmmn (No. 59, origin choice 2)
Asymmetric unit:
Ga (0.2500, 0.1042, 0.0989) (multiplicity 4)  4 Sb 2.68-2.75
Ga (0.2500, 0.7500, 0.4019) (multiplicity 2)  4 Sb 2.68-2.70
Sb (0.2500, 0.2500, 0.3711) (multiplicity 2)  4 Ga 2.68
Sb (0.2500, 0.6000, 0.1350) (multiplicity 4)  4 Ga 2.70-2.75

Calculated values
theoretical density: 4.8 g/cm³
DFT total energy: -3.629 eV per atom
Fermi-level density of states: 0.57 states/eV per cell
relative energy among the computed polymorphs: 0.109 eV/atom



[3]
A plane-wave DFT calculation with GGA-PBE was carried out for GaSb after structural relaxation.

Cell: 7.5955 7.5955 4.3999 Å, 90.00 90.00 90.00°
Closest atoms and distances in Å follow each position.
Space group P4_2/mnm (No. 136)
Asymmetric unit:
Ga (0.1756, 0.1756, 0.0000) (multiplicity 4)  4 Sb 2.68-2.72
Sb (0.1819, 0.8181, 0.0000) (multiplicity 4)  4 Ga 2.68-2.72

Calculated values
theoretical density: 5.0 g/cm³
DFT total energy: -3.672 eV per atom
Fermi-level density of states: 0.29 states/eV per cell
relative energy among the computed polymorphs: 0.066 eV/atom



[4]
A plane-wave DFT calculation with GGA-PBE was carried out for GaSb after structural relaxation.

Cell: 8.5374 8.5374 8.5374 Å, 90.00 90.00 90.00°
Closest atoms and distances in Å follow each position.
Space group I-43m (No. 217)
Asymmetric unit:
Ga (0.1558, 0.1558, 0.1558) (multiplicity 8)  4 Sb 2.66-2.73
Sb (0.1642, 0.1642, 0.8358) (multiplicity 8)  4 Ga 2.66-2.73

Calculated values
theoretical density: 4.1 g/cm³
DFT total energy: -3.523 eV per atom
Fermi-level density of states: 1.70 states/eV per cell
relative energy among the computed polymorphs: 0.215 eV/atom



[5]
A plane-wave DFT calculation with GGA-PBE was carried out for Ga2Sb after structural relaxation.

Cell: 4.2275 15.4531 4.5779 Å, 90.00 91.88 90.00°
Closest atoms and distances in Å follow each position.
Space group Cc (No. 9)
Asymmetric unit:
Ga (0.0000, 0.0427, 0.0000) (multiplicity 4)  3 Ga 2.64-2.68, 2 Sb 2.84-2.86
Ga (0.0296, 0.1742, 0.6195) (multiplicity 4)  1 Ga 2.68, 3 Sb 2.78-2.84
Sb (0.0103, 0.3519, 0.7193) (multiplicity 4)  5 Ga 2.78-2.86

Calculated values
theoretical density: 5.8 g/cm³
DFT total energy: -3.362 eV per atom
Fermi-level density of states: 4.28 states/eV per cell
relative energy among the computed polymorphs: 0.011 eV/atom



[6]
A plane-wave DFT calculation with GGA-PBE was carried out for Ga2Sb after structural relaxation.

Cell: 10.2914 5.5575 5.2588 Å, 90.00 117.15 90.00°
Closest atoms and distances in Å follow each position.
Space group C2/m (No. 12)
Asymmetric unit:
Ga (0.0488, 0.0000, 0.2956) (multiplicity 4)  4 Ga 2.76-3.06, 2 Sb 2.84
Ga (0.2483, 0.5000, 0.9848) (multiplicity 4)  4 Ga 2.76-3.06, 2 Sb 2.87-2.93
Sb (0.1136, 0.5000, 0.3709) (multiplicity 4)  5 Ga 2.84-3.10

Calculated values
theoretical density: 6.5 g/cm³
DFT total energy: -3.344 eV per atom
Fermi-level density of states: 3.83 states/eV per cell
relative energy among the computed polymorphs: 0.030 eV/atom



[7]
A plane-wave DFT calculation with GGA-PBE was carried out for GaSb after structural relaxation.

Cell: 7.6698 7.6698 7.6698 Å, 90.00 90.00 90.00°
Closest atoms and distances in Å follow each position.
Space group Pm-3n (No. 223)
Asymmetric unit:
Ga (0.0000, 0.2500, 0.5000) (multiplicity 6)  4 Sb 2.71
Sb (0.0000, 0.5000, 0.2500) (multiplicity 6)  4 Ga 2.71

Calculated values
theoretical density: 4.2 g/cm³
DFT total energy: -3.591 eV per atom
Fermi-level density of states: 1.59 states/eV per cell
relative energy among the computed polymorphs: 0.147 eV/atom



[8]
A plane-wave DFT calculation with GGA-PBE was carried out for Ga2Sb after structural relaxation.

Cell: 5.0758 5.0758 6.0765 Å, 90.00 90.00 120.00°
Closest atoms and distances in Å follow each position.
Space group P6_3/mmc (No. 194)
Asymmetric unit:
Ga (0.0000, 0.0000, 0.0000) (multiplicity 2)  8 Ga 3.04-3.30, 6 Sb 3.30
Ga (0.3333, 0.6667, 0.2500) (multiplicity 2)  5 Sb 2.93-3.04
Sb (0.3333, 0.6667, 0.7500) (multiplicity 2)  5 Ga 2.93-3.04

Calculated values
theoretical density: 6.4 g/cm³
DFT total energy: -3.323 eV per atom
Fermi-level density of states: 3.98 states/eV per cell
relative energy among the computed polymorphs: 0.050 eV/atom



[9]
A plane-wave DFT calculation with GGA-PBE was carried out for GaSb4 after structural relaxation.

Cell: 5.3052 5.3052 5.3052 Å, 90.00 90.00 90.00°
Closest atoms and distances in Å follow each position.
Space group Pm-3m (No. 221)
Asymmetric unit:
Ga (0.0000, 0.0000, 0.0000) (multiplicity 1)  6 Sb 2.65
Sb (0.0000, 0.0000, 0.5000) (multiplicity 3)  2 Ga 2.65
Sb (0.5000, 0.5000, 0.5000) (multiplicity 1)  12 Sb 3.75

Calculated values
theoretical density: 6.2 g/cm³
DFT total energy: -3.322 eV per atom
Fermi-level density of states: 4.51 states/eV per cell



[10]
A plane-wave DFT calculation with GGA-PBE was carried out for Ga2Sb after structural relaxation.

Cell: 8.0860 8.0860 8.0860 Å, 90.00 90.00 90.00°
Closest atoms and distances in Å follow each position.
Space group Fd-3m (No. 227, origin choice 2)
Asymmetric unit:
Ga (0.0000, 0.0000, 0.0000) (multiplicity 16)  6 Ga 2.86
Sb (0.1250, 0.1250, 0.6250) (multiplicity 8)  12 Ga 3.35, 4 Sb 3.50

Calculated values
theoretical density: 6.6 g/cm³
DFT total energy: -3.253 eV per atom
Fermi-level density of states: 11.45 states/eV per cell
relative energy among the computed polymorphs: 0.121 eV/atom



[11]
A plane-wave DFT calculation with GGA-PBE was carried out for GaSb5 after structural relaxation.

Cell: 4.8169 16.9890 3.9943 Å, 90.00 90.00 90.00°
Closest atoms and distances in Å follow each position.
Space group Cmmm (No. 65)
Asymmetric unit:
Ga (0.0000, 0.0000, 0.0000) (multiplicity 2)  8 Sb 3.13-3.42
Sb (0.0000, 0.1875, 0.5000) (multiplicity 4)  8 Sb 3.21-3.50
Sb (0.0000, 0.3569, 0.0000) (multiplicity 4)  8 Sb 3.15-3.50, 2 Ga 3.42
Sb (0.0000, 0.5000, 0.5000) (multiplicity 2)  4 Ga 3.13, 4 Sb 3.15

Calculated values
theoretical density: 6.9 g/cm³
DFT total energy: -3.743 eV per atom
Fermi-level density of states: 7.20 states/eV per cell



[12]
A plane-wave DFT calculation with GGA-PBE was carried out for GaSb after structural relaxation.

Cell: 12.2206 4.3071 7.7049 Å, 90.00 90.00 90.00°
Closest atoms and distances in Å follow each position.
Space group Pmn2_1 (No. 31)
Asymmetric unit:
Ga (0.0000, 0.0532, 0.0000) (multiplicity 2)  4 Sb 2.71-2.79
Ga (0.2136, 0.3263, 0.2139) (multiplicity 4)  4 Sb 2.66-2.80
Sb (0.0000, 0.5575, 0.2272) (multiplicity 2)  4 Ga 2.76-2.80
Sb (0.2028, 0.1698, 0.8722) (multiplicity 4)  4 Ga 2.66-2.72

Calculated values
theoretical density: 4.7 g/cm³
DFT total energy: -3.527 eV per atom
Fermi-level density of states: 0.16 states/eV per cell
relative energy among the computed polymorphs: 0.211 eV/atom



[13]
A plane-wave DFT calculation with GGA-PBE was carried out for GaSb after structural relaxation.

Cell: 5.5238 5.5238 3.1544 Å, 90.00 90.00 90.00°
Closest atoms and distances in Å follow each position.
Space group I-4m2 (No. 119)
Asymmetric unit:
Ga (0.0000, 0.0000, 0.0000) (multiplicity 2)  4 Sb 2.87, 2 Ga 3.15
Sb (0.0000, 0.5000, 0.2500) (multiplicity 2)  4 Ga 2.87, 2 Sb 3.15

Calculated values
theoretical density: 6.6 g/cm³
DFT total energy: -3.549 eV per atom
Fermi-level density of states: 1.64 states/eV per cell
relative energy among the computed polymorphs: 0.189 eV/atom



[14]
A plane-wave DFT calculation with GGA-PBE was carried out for GaSb after structural relaxation.

Cell: 10.7422 10.7422 4.4705 Å, 90.00 90.00 120.00°
Closest atoms and distances in Å follow each position.
Space group P6_3/m (No. 176)
Asymmetric unit:
Ga (0.0771, 0.4144, 0.2500) (multiplicity 6)  4 Sb 2.68-2.74
Sb (0.0869, 0.6744, 0.2500) (multiplicity 6)  4 Ga 2.68-2.74

Calculated values
theoretical density: 4.3 g/cm³
DFT total energy: -3.590 eV per atom
Fermi-level density of states: 0.55 states/eV per cell
relative energy among the computed polymorphs: 0.149 eV/atom



[15]
A plane-wave DFT calculation with GGA-PBE was carried out for GaSb after structural relaxation.

Cell: 3.3025 5.0185 5.7791 Å, 90.00 90.00 90.00°
Closest atoms and distances in Å follow each position.
Space group Immm (No. 71)
Asymmetric unit:
Ga (0.0000, 0.0000, 0.0000) (multiplicity 2)  6 Sb 2.89-3.00
Sb (0.0000, 0.0000, 0.5000) (multiplicity 2)  6 Ga 2.89-3.00

Calculated values
theoretical density: 6.6 g/cm³
DFT total energy: -3.544 eV per atom
Fermi-level density of states: 1.77 states/eV per cell
relative energy among the computed polymorphs: 0.194 eV/atom



[16]
A plane-wave DFT calculation with GGA-PBE was carried out for GaSb after structural relaxation.

Cell: 11.4585 11.4585 4.4048 Å, 90.00 90.00 90.00°
Closest atoms and distances in Å follow each position.
Space group I4/m (No. 87)
Asymmetric unit:
Ga (0.1212, 0.7085, 0.0000) (multiplicity 8)  4 Sb 2.68-2.75
Sb (0.1124, 0.2812, 0.0000) (multiplicity 8)  4 Ga 2.68-2.75

Calculated values
theoretical density: 4.4 g/cm³
DFT total energy: -3.582 eV per atom
Fermi-level density of states: 0.82 states/eV per cell
relative energy among the computed polymorphs: 0.156 eV/atom



[17]
A plane-wave DFT calculation with GGA-PBE was carried out for GaSb after structural relaxation.

Cell: 6.2118 6.2118 6.2118 Å, 90.00 90.00 90.00°
Closest atoms and distances in Å follow each position.
Space group F-43m (No. 216)
Asymmetric unit:
Ga (0.0000, 0.0000, 0.0000) (multiplicity 4)  4 Sb 2.69
Sb (0.2500, 0.2500, 0.2500) (multiplicity 4)  4 Ga 2.69

Calculated values
theoretical density: 5.3 g/cm³
DFT total energy: -3.738 eV per atom
Fermi-level density of states: 0.65 states/eV per cell
relative energy among the computed polymorphs: 0.000 eV/atom



[18]
A plane-wave DFT calculation with GGA-PBE was carried out for GaSb after structural relaxation.

Cell: 11.5668 11.5668 4.3790 Å, 90.00 90.00 90.00°
Closest atoms and distances in Å follow each position.
Space group P4/m (No. 83)
Asymmetric unit:
Ga (0.0706, 0.4066, 0.0000) (multiplicity 4)  3 Sb 2.67-2.68, 1 Ga 2.71
Ga (0.1554, 0.7206, 0.5000) (multiplicity 4)  4 Sb 2.70-2.71
Sb (0.0792, 0.2754, 0.5000) (multiplicity 4)  4 Ga 2.67-2.71
Sb (0.2078, 0.5938, 0.0000) (multiplicity 4)  3 Ga 2.68-2.70

Calculated values
theoretical density: 4.3 g/cm³
DFT total energy: -3.541 eV per atom
Fermi-level density of states: 0.76 states/eV per cell
relative energy among the computed polymorphs: 0.197 eV/atom



[19]
A plane-wave DFT calculation with GGA-PBE was carried out for Ga2Sb after structural relaxation.

Cell: 5.3958 8.8027 5.6768 Å, 90.00 90.00 90.00°
Closest atoms and distances in Å follow each position.
Space group Cmcm (No. 63)
Asymmetric unit:
Ga (0.0000, 0.0016, 0.2500) (multiplicity 4)  5 Ga 2.84-3.09, 3 Sb 2.94-3.07
Ga (0.0000, 0.3308, 0.2500) (multiplicity 4)  5 Sb 2.84-3.06, 3 Ga 2.90-3.09
Sb (0.0000, 0.3320, 0.7500) (multiplicity 4)  8 Ga 2.84-3.07

Calculated values
theoretical density: 6.4 g/cm³
DFT total energy: -3.342 eV per atom
Fermi-level density of states: 6.16 states/eV per cell
relative energy among the computed polymorphs: 0.032 eV/atom



[20]
A plane-wave DFT calculation with GGA-PBE was carried out for GaSb6 after structural relaxation.

Cell: 8.4301 8.4301 8.4301 Å, 90.00 90.00 90.00°
Closest atoms and distances in Å follow each position.
Space group Im-3m (No. 229)
Asymmetric unit:
Ga (0.0000, 0.0000, 0.0000) (multiplicity 2)  24 Sb 4.71
Sb (0.0000, 0.2500, 0.5000) (multiplicity 12)  4 Sb 2.98

Calculated values
theoretical density: 4.4 g/cm³
DFT total energy: -3.497 eV per atom
Fermi-level density of states: 9.03 states/eV per cell



[21]
A plane-wave DFT calculation with GGA-PBE was carried out for GaSb after structural relaxation.

Cell: 4.3788 4.3788 7.2150 Å, 90.00 90.00 120.00°
Closest atoms and distances in Å follow each position.
Space group P6_3mc (No. 186)
Asymmetric unit:
Ga (0.3333, 0.6667, 0.0000) (multiplicity 2)  4 Sb 2.69-2.70
Sb (0.3333, 0.6667, 0.3740) (multiplicity 2)  4 Ga 2.69-2.70

Calculated values
theoretical density: 5.3 g/cm³
DFT total energy: -3.727 eV per atom
Fermi-level density of states: 0.20 states/eV per cell
relative energy among the computed polymorphs: 0.011 eV/atom



[22]
A plane-wave DFT calculation with GGA-PBE was carried out for Ga2Sb after structural relaxation.

Cell: 4.3204 6.0808 6.3107 Å, 63.81 74.90 77.88°
Closest atoms and distances in Å follow each position.
Space group P-1 (No. 2)
Asymmetric unit:
Ga (0.1558, 0.1947, 0.0922) (multiplicity 2)  1 Ga 2.59, 2 Sb 2.74-2.85
Ga (0.3308, 0.8185, 0.5625) (multiplicity 2)  2 Ga 2.59-2.62, 2 Sb 2.81-2.89
Sb (0.2871, 0.6465, 0.2256) (multiplicity 2)  5 Ga 2.74-3.02

Calculated values
theoretical density: 6.1 g/cm³
DFT total energy: -3.368 eV per atom
Fermi-level density of states: 2.06 states/eV per cell
relative energy among the computed polymorphs: 0.005 eV/atom



[23]
A plane-wave DFT calculation with GGA-PBE was carried out for Ga2Sb after structural relaxation.

Cell: 3.3705 3.3705 11.7468 Å, 90.00 90.00 90.00°
Closest atoms and distances in Å follow each position.
Space group I4/mmm (No. 139)
Asymmetric unit:
Ga (0.0000, 0.0000, 0.1750) (multiplicity 4)  4 Ga 2.96, 4 Sb 3.15
Sb (0.0000, 0.0000, 0.5000) (multiplicity 2)  8 Ga 3.15, 4 Sb 3.37

Calculated values
theoretical density: 6.5 g/cm³
DFT total energy: -3.303 eV per atom
Fermi-level density of states: 2.22 states/eV per cell
relative energy among the computed polymorphs: 0.071 eV/atom



[24]
A plane-wave DFT calculation with GGA-PBE was carried out for Ga2Sb after structural relaxation.

Cell: 4.0364 6.0281 6.4259 Å, 65.01 74.50 73.76°
Closest atoms and distances in Å follow each position.
Space group P-1 (No. 2)
Asymmetric unit:
Ga (0.0497, 0.2598, 0.3291) (multiplicity 2)  4 Ga 2.75-3.04, 2 Sb 2.88-2.97
Ga (0.2764, 0.7183, 0.0065) (multiplicity 2)  4 Ga 2.75-2.98, 3 Sb 2.86-2.96
Sb (0.4028, 0.2127, 0.6850) (multiplicity 2)  7 Ga 2.86-3.17

Calculated values
theoretical density: 6.5 g/cm³
DFT total energy: -3.371 eV per atom
Fermi-level density of states: 2.23 states/eV per cell
relative energy among the computed polymorphs: 0.002 eV/atom



| no. | raw formation energy (eV/atom) |
| --- | --- |
| 1 | 0.03 |
| 2 | -0.05 |
| 3 | -0.10 |
| 4 | 0.05 |
| 5 | 0.03 |
| 6 | 0.05 |
| 7 | -0.02 |
| 8 | 0.07 |
| 9 | 0.58 |
| 10 | 0.14 |
| 11 | 0.20 |
| 12 | 0.05 |
| 13 | 0.03 |
| 14 | -0.01 |
| 15 | 0.03 |
| 16 | -0.01 |
| 17 | -0.16 |
| 18 | 0.03 |
| 19 | 0.05 |
| 20 | 0.47 |
| 21 | -0.15 |
| 22 | 0.02 |
| 23 | 0.09 |
| 24 | 0.02 |